The following is a DFT calculation (PBE-GGA) of a geometry-optimized RbSrSb2 structure.

As for the magnetization: 0.00 μB per formula unit. As for the total energy: -48.8 eV for the cell shown. Its uncorrected formation energy is -325.3 meV per atom. As for the density of states at the Fermi level: 0.2471 states/eV per atom.

It has space group I-42d (No. 122), with a = 5.8857 Å, b = 5.8857 Å, c = 21.9774 Å, α = 90.00°, β = 90.00° and γ = 90.00°. Symmetry generates all atoms from Rb at (0.0000, 0.0000, 0.0000), Sr at (0.0000, 0.0000, 0.5000) and Sb at (0.1182, 0.2500, 0.6250).

The following is a DFT calculation (PBE-GGA) of a geometry-optimized Tl2ZnIr structure.

As for the magnetization: 0.00 μB per formula unit. As for the total energy: -13.1 eV for the cell shown. As for the formation energy: 0.441 eV per atom. As for the density of states at the Fermi level: 0.3503 states/eV per atom.

It has space group Pmmm (No. 47), with a = 3.3534 Å, b = 4.0235 Å, c = 5.8988 Å, α = 90.00°, β = 90.00° and γ = 90.00°. Symmetry generates all atoms from Tl at (0.0000, 0.0000, 0.2457), Zn at (0.5000, 0.5000, 0.5000) and Ir at (0.5000, 0.5000, 0.0000).

The following is a DFT calculation (PBE-GGA) of a geometry-optimized MnRe2Hg structure.

As for the magnetization: 2.84 μB per formula unit. As for the total energy: -64.1 eV for the cell shown. As for the formation energy: 0.579 eV per atom. As for the density of states at the Fermi level: 0.8041 states/eV per atom.

It has space group I-4m2 (No. 119), with a = 4.0000 Å, b = 4.0000 Å, c = 7.7649 Å, α = 90.00°, β = 90.00° and γ = 90.00°. Symmetry generates all atoms from Mn at (0.0000, 0.0000, 0.0000), Re at (0.0000, 0.0000, 0.5000), Re at (0.0000, 0.5000, 0.7500) and Hg at (0.0000, 0.5000, 0.2500).